1.
DFT (PBE) results for an optimized crystal structure of GePClO2.

It has space group P4/mmm (No. 123), with a = 3.6332 Å, b = 3.6332 Å, c = 5.4815 Å, α = 90.00°, β = 90.00° and γ = 90.00°. The inequivalent atoms are Ge at (0.0000, 0.0000, 0.0000), P at (0.0000, 0.0000, 0.5000), Cl at (0.5000, 0.5000, 0.5000) and O at (0.0000, 0.5000, 0.0000).

For the energy above the most stable polymorph in this dataset, the calculation gives 0.953 eV/atom. For the total magnetic moment, the calculation gives 0.06 μB/atom. The calculation puts the formation energy without anion corrections at -0.25 eV/atom.

***

2.
DFT (PBE) results for an optimized crystal structure of Nd4Co.

It has space group Fdd2 (No. 43), with a = 12.7797 Å, b = 13.3650 Å, c = 7.5371 Å, α = 90.00°, β = 90.00° and γ = 90.00°. The inequivalent atoms are Nd at (0.1199, 0.3327, 0.0002), Nd at (0.1218, 0.3320, 0.5000) and Co at (0.0000, 0.0000, 0.4981).

For the energy above the most stable polymorph in this dataset, the calculation gives 0.000 eV/atom. For the total magnetic moment, the calculation gives 0.00 μB/atom.

***

3.
DFT (PBE) results for an optimized crystal structure of LaPtSe3.

It has space group Pm-3m (No. 221), with a = 5.7251 Å, b = 5.7251 Å, c = 5.7251 Å, α = 90.00°, β = 90.00° and γ = 90.00°. The inequivalent atoms are La at (0.0000, 0.0000, 0.0000), Pt at (0.5000, 0.5000, 0.5000) and Se at (0.0000, 0.0000, 0.5000).

For the energy above the most stable polymorph in this dataset, the calculation gives 1.271 eV/atom. For the total magnetic moment, the calculation gives 0.59 μB/atom. The calculation puts the formation energy without anion corrections at 0.48 eV/atom.

***

Summary of N(E_F) in states/eV/f.u.
2.85, 7.09, 3.47
(order as listed above)